Entry 1:
Compound: NdAuNO
Source: OQMD
Functional: GGA-PBE
Structure: optimized geometry

* energy above the most stable polymorph in this dataset: 0.000 eV/atom

Cell: 5.8483 7.1438 5.9524 Å, 90.00 90.00 90.00°
Last column: nearest neighbours and their distance in Å.
Space group Pca2_1 (No. 29)
Inequivalent atoms, fractional coordinates:
Nd 0.0351 0.1521 0.0000 (multiplicity 4)  4 O 2.34-2.40
Au 0.0363 0.5759 0.0101 (multiplicity 4)  4 N 2.22-2.29
N 0.2445 0.4117 0.2603 (multiplicity 4)  4 Au 2.22-2.29
O 0.2497 0.9714 0.2499 (multiplicity 4)  4 Nd 2.34-2.40



Entry 2:
Compound: NdAuNO
Source: OQMD
Functional: GGA-PBE
Structure: optimized geometry

* energy above the most stable polymorph in this dataset: 0.080 eV/atom

Cell: 4.3325 7.6314 5.0432 Å, 90.00 90.00 90.00°
Last column: nearest neighbours and their distance in Å.
Space group Pmc2_1 (No. 26)
Inequivalent atoms, fractional coordinates:
Nd 0.0000 0.1640 0.0000 (multiplicity 2)  2 O 2.17-2.34, 2 N 2.42
Au 0.5000 0.4774 0.6414 (multiplicity 2)  2 N 1.98-2.04
N 0.5000 0.2969 0.9248 (multiplicity 2)  2 Au 1.98-2.04
O 0.0000 0.1186 0.4582 (multiplicity 2)  2 Nd 2.17-2.34



Entry 3:
Compound: NdAuNO
Source: OQMD
Functional: GGA-PBE
Structure: optimized geometry

* energy above the most stable polymorph in this dataset: 0.180 eV/atom

Cell: 3.9493 6.1741 5.4095 Å, 90.00 90.00 90.00°
Last column: nearest neighbours and their distance in Å.
Space group Pmc2_1 (No. 26)
Inequivalent atoms, fractional coordinates:
Nd 0.0000 0.2245 0.0000 (multiplicity 2)  2 O 2.26, 1 N 2.37
Au 0.5000 0.2368 0.4811 (multiplicity 2)  2 N 2.03
N 0.0000 0.1585 0.4776 (multiplicity 2)  2 Au 2.03
O 0.5000 0.3847 0.9086 (multiplicity 2)  2 Nd 2.26, 2 Au 2.37-2.49



Entry 4:
Compound: Ni2AuN2
Source: OQMD
Functional: GGA-PBE
Structure: optimized geometry

* calculated total energy: -5.553 eV per atom

Cell: 3.2102 3.2102 13.0224 Å, 90.00 90.00 120.00°
Last column: nearest neighbours and their distance in Å.
Space group P6_3/mmc (No. 194)
Inequivalent atoms, fractional coordinates:
Ni 0.3333 0.6667 0.0873 (multiplicity 4)  4 N 1.87-2.02
Au 0.0000 0.0000 0.2500 (multiplicity 2)  6 Ni 2.81, 6 N 3.01
N 0.3333 0.6667 0.5675 (multiplicity 4)  4 Ni 1.87-2.02



Repeat the third record exactly.
Compound: NdAuNO
Source: OQMD
Functional: GGA-PBE
Structure: optimized geometry

* energy above the most stable polymorph in this dataset: 0.180 eV/atom

Cell: 3.9493 6.1741 5.4095 Å, 90.00 90.00 90.00°
Last column: nearest neighbours and their distance in Å.
Space group Pmc2_1 (No. 26)
Inequivalent atoms, fractional coordinates:
Nd 0.0000 0.2245 0.0000 (multiplicity 2)  2 O 2.26, 1 N 2.37
Au 0.5000 0.2368 0.4811 (multiplicity 2)  2 N 2.03
N 0.0000 0.1585 0.4776 (multiplicity 2)  2 Au 2.03
O 0.5000 0.3847 0.9086 (multiplicity 2)  2 Nd 2.26, 2 Au 2.37-2.49



Question: Number 2 is which compound?
Answer: NdAuNO